# SrOs2F

SrOs2F after structural relaxation (PBE, Alexandria). Values from VASP.

The structure in Quantum ESPRESSO input format:
```
&SYSTEM
  ibrav = 0, nat = 16, ntyp = 3
/
ATOMIC_SPECIES
Sr 87.62 Sr.upf
Os 190.23 Os.upf
F 19.00 F.upf
CELL_PARAMETERS angstrom
6.6774 0.0000 0.0000
0.0000 6.6774 0.0000
0.0000 0.0000 6.6774
ATOMIC_POSITIONS angstrom
Sr 0.0000 0.0000 0.0000
Sr 0.0000 3.3387 3.3387
Sr 3.3387 0.0000 3.3387
Sr 3.3387 3.3387 0.0000
Os 1.6693 1.6693 1.6693
Os 1.6693 1.6693 5.0080
Os 1.6693 5.0080 1.6693
Os 1.6693 5.0080 5.0080
Os 5.0080 1.6693 1.6693
Os 5.0080 1.6693 5.0080
Os 5.0080 5.0080 1.6693
Os 5.0080 5.0080 5.0080
F 0.0000 0.0000 3.3387
F 0.0000 3.3387 0.0000
F 3.3387 0.0000 0.0000
F 3.3387 3.3387 3.3387
```

Calculated values
Its raw total energy is -77.18 eV for the cell shown. The value obtained for the formation energy from raw total energies is 1.679 eV/atom. The magnetic moment comes out at 3.9 μB/f.u. Its excess energy over the best structure of this formula in the dataset is 0.975 eV per atom.